[1]
An optimized crystal structure of Ba2AcMoO6. Source: Alexandria, functional PBE+U.

Calculated values
total moment	2.0	Bohr magnetons per cell
E	-0.260	Ha/atom

a b c (Å): 6.230 6.212 8.851
angles (deg): 90.00 90.73 90.00
Each line ends with the local moment (μB).
Fractional coordinates of all 20 atoms:
1 Ba 0.996 0.026 0.753  0.00
2 Ba 0.504 0.526 0.747  0.00
3 O 0.694 0.262 0.540  0.01
4 O 0.247 0.690 0.036  -0.02
5 O 0.747 0.810 0.536  -0.02
6 O 0.572 0.017 0.274  0.01
7 O 0.753 0.310 0.964  -0.02
8 Mo 0.000 0.500 0.000  0.94
9 O 0.806 0.762 0.960  0.01
10 O 0.428 0.983 0.726  0.01
11 O 0.253 0.190 0.464  -0.02
12 O 0.306 0.738 0.460  0.01
13 O 0.928 0.517 0.226  0.01
14 Ba 0.496 0.474 0.253  0.00
15 Mo 0.500 0.000 0.500  0.94
16 Ac 0.000 0.500 0.500  0.01
17 O 0.072 0.483 0.774  0.01
18 Ba 0.004 0.974 0.247  0.00
19 Ac 0.500 0.000 0.000  0.01
20 O 0.194 0.238 0.040  0.01

=====

[2]
An optimized crystal structure of BaAc2MoO6. Source: Alexandria, functional PBE+U.

Calculated values
total moment	4.0	Bohr magnetons per cell
E	-0.272	Ha/atom

a b c (Å): 5.956 6.491 8.950
angles (deg): 90.00 89.81 90.00
Each line ends with the local moment (μB).
Fractional coordinates of all 20 atoms:
1 Ac 0.008 0.959 0.271  0.01
2 Ac 0.492 0.459 0.229  0.01
3 Ac 0.508 0.541 0.771  0.01
4 Ac 0.992 0.041 0.729  0.01
5 O 0.372 0.899 0.716  0.02
6 Mo 0.000 0.500 0.000  1.84
7 O 0.346 0.743 0.401  0.00
8 O 0.800 0.849 0.529  0.01
9 O 0.872 0.601 0.216  0.02
10 O 0.200 0.151 0.471  0.01
11 O 0.154 0.243 0.099  0.00
12 O 0.846 0.757 0.901  0.00
13 O 0.128 0.399 0.784  0.02
14 O 0.654 0.257 0.599  0.00
15 O 0.628 0.101 0.284  0.02
16 Mo 0.500 0.000 0.500  1.84
17 Ba 0.000 0.500 0.500  0.01
18 O 0.700 0.349 0.971  0.01
19 Ba 0.500 0.000 0.000  0.01
20 O 0.300 0.651 0.029  0.01

=====

[3]
An optimized crystal structure of Ba2AcMo3O12. Source: Alexandria, functional PBE+U.

Calculated values
total moment	1.0	Bohr magnetons per cell
E	-0.262	Ha/atom

a b c (Å): 7.088 7.088 7.088
angles (deg): 64.41 64.41 64.41
Each line ends with the local moment (μB).
Fractional coordinates of all 18 atoms:
1 O 0.135 0.135 0.564  -0.02
2 O 0.270 0.899 0.270  -0.02
3 Ba 0.384 0.384 0.384  0.00
4 O 0.436 0.865 0.865  -0.02
5 Mo 0.000 0.000 0.500  0.41
6 O 0.270 0.270 0.899  -0.02
7 Ac 0.000 0.000 0.000  0.00
8 O 0.564 0.135 0.135  -0.02
9 O 0.135 0.564 0.135  -0.02
10 O 0.865 0.865 0.436  -0.02
11 O 0.865 0.436 0.865  -0.02
12 O 0.730 0.101 0.730  -0.02
13 O 0.730 0.730 0.101  -0.02
14 O 0.101 0.730 0.730  -0.02
15 O 0.899 0.270 0.270  -0.02
16 Ba 0.616 0.616 0.616  0.00
17 Mo 0.000 0.500 0.000  0.41
18 Mo 0.500 0.000 0.000  0.41

=====

[4]
An optimized crystal structure of Ba3AcMo2O9. Source: Alexandria, functional PBE+U.

Calculated values
total moment	3.0	Bohr magnetons per cell
E	-0.258	Ha/atom

a b c (Å): 6.053 6.053 7.791
angles (deg): 90.00 90.00 120.00
Each line ends with the local moment (μB).
Fractional coordinates of all 15 atoms:
1 Ac 0.000 0.000 0.500  0.03
2 O 0.353 0.176 0.704  -0.02
3 O 0.176 0.353 0.296  -0.02
4 O 0.000 0.500 0.000  -0.02
5 O 0.824 0.176 0.704  -0.02
6 O 0.500 0.500 0.000  -0.02
7 O 0.500 0.000 0.000  -0.02
8 Ba 0.667 0.333 0.285  0.01
9 O 0.647 0.824 0.296  -0.02
10 O 0.824 0.647 0.704  -0.02
11 Mo 0.667 0.333 0.844  1.45
12 Ba 0.333 0.667 0.715  0.01
13 Ba 0.000 0.000 0.000  0.01
14 Mo 0.333 0.667 0.156  1.45
15 O 0.176 0.824 0.296  -0.02

=====

[5]
An optimized crystal structure of BaAc2MoO8. Source: Alexandria, functional PBE+U.

Calculated values
total moment	0.0	Bohr magnetons per cell
E	-0.260	Ha/atom

a b c (Å): 4.738 5.856 7.688
angles (deg): 83.77 86.95 85.52
Fractional coordinates of all 12 atoms:
1 O 0.895 0.215 0.162
2 O 0.056 0.755 0.193
3 O 0.438 0.274 0.490
4 Ac 0.557 0.550 0.256
5 O 0.399 0.096 0.018
6 O 0.601 0.904 0.982
7 O 0.562 0.726 0.510
8 Ba 0.000 0.000 0.500
9 Mo 0.000 0.000 0.000
10 Ac 0.443 0.450 0.744
11 O 0.105 0.785 0.838
12 O 0.944 0.245 0.807

=====

[6]
An optimized crystal structure of BaAcMoO6. Source: Alexandria, functional PBE+U.

Calculated values
total moment	1.0	Bohr magnetons per cell
E	-0.257	Ha/atom

a b c (Å): 6.061 6.061 5.511
angles (deg): 91.10 88.84 57.03
Each line ends with the local moment (μB).
Fractional coordinates of all 9 atoms:
1 O 0.057 0.345 0.294  0.33
2 O 0.586 0.058 0.285  0.09
3 O 0.608 0.332 0.690  0.01
4 Ac 0.669 0.669 0.499  0.09
5 Ba 0.999 0.998 0.999  0.00
6 O 0.057 0.586 0.715  0.09
7 Mo 0.347 0.347 0.501  -0.07
8 O 0.346 0.056 0.705  0.32
9 O 0.331 0.609 0.311  0.01